Density functional theory data (PBE) for a relaxed TmMgFe crystal.

- Crystal system: cubic

a b c (Å): 4.550 4.550 4.550
angles (deg): 60.00 60.00 60.00
Atoms (fractional coordinates):
Mg1 0.250 0.250 0.250
Tm1 0.750 0.750 0.750
Fe1 0.000 0.000 0.000

Density functional theory data (PBE) for a relaxed Tm4Mg3Fe2 crystal.

- Crystal system: monoclinic

a b c (Å): 7.413 3.710 8.081
angles (deg): 90.00 109.90 90.00
Atoms (fractional coordinates):
Fe1 0.140 0.000 0.101
Fe2 0.860 0.000 0.899
Tm1 0.595 0.500 0.726
Tm2 0.893 0.500 0.181
Tm3 0.107 0.500 0.819
Tm4 0.405 0.500 0.274
Mg1 0.500 0.000 0.000
Mg2 0.791 0.000 0.502
Mg3 0.209 0.000 0.498

Density functional theory data (PBE) for a relaxed MgUFe crystal.

- Crystal system: cubic
- ΔE to the lowest computed polymorph: 0.000 eV per atom

a b c (Å): 4.360 4.360 4.360
angles (deg): 60.00 60.00 60.00
Atoms (fractional coordinates):
Fe1 0.000 0.000 0.000
U1 0.250 0.250 0.250
Mg1 0.750 0.750 0.750

Density functional theory data (PBE) for a relaxed MgUFe crystal.

- Crystal system: cubic
- ΔE to the lowest computed polymorph: 0.958 eV per atom

a b c (Å): 4.472 4.472 4.472
angles (deg): 60.00 60.00 60.00
Atoms (fractional coordinates):
Mg1 0.750 0.750 0.750
U1 0.000 0.000 0.000
Fe1 0.250 0.250 0.250

Density functional theory data (PBE) for a relaxed MgZnFeW crystal.

- Crystal system: cubic
- ΔE to the lowest computed polymorph: 0.042 eV per atom

a b c (Å): 4.274 4.274 4.274
angles (deg): 60.00 60.00 60.00
Atoms (fractional coordinates):
W1 0.500 0.500 0.500
Zn1 0.000 0.000 0.000
Fe1 0.750 0.750 0.750
Mg1 0.250 0.250 0.250

Density functional theory data (PBE) for a relaxed MgZnFeW crystal.

- Crystal system: cubic
- ΔE to the lowest computed polymorph: 0.426 eV per atom

a b c (Å): 4.383 4.383 4.383
angles (deg): 60.00 60.00 60.00
Atoms (fractional coordinates):
W1 0.250 0.250 0.250
Zn1 0.000 0.000 0.000
Fe1 0.750 0.750 0.750
Mg1 0.500 0.500 0.500

Density functional theory data (PBE) for a relaxed MgZnFeW crystal.

- Crystal system: cubic
- ΔE to the lowest computed polymorph: 0.000 eV per atom

a b c (Å): 4.299 4.299 4.299
angles (deg): 60.00 60.00 60.00
Atoms (fractional coordinates):
Fe1 0.500 0.500 0.500
Mg1 0.750 0.750 0.750
Zn1 0.000 0.000 0.000
W1 0.250 0.250 0.250

Density functional theory data (PBE) for a relaxed Y4Mg3Fe2 crystal.

- Crystal system: monoclinic

a b c (Å): 7.486 3.777 8.177
angles (deg): 90.00 109.79 90.00
Atoms (fractional coordinates):
Fe1 0.362 0.000 0.402
Fe2 0.638 0.000 0.598
Y1 0.391 0.500 0.686
Y2 0.094 0.500 0.226
Y3 0.906 0.500 0.774
Y4 0.609 0.500 0.314
Mg1 0.709 0.000 0.996
Mg2 0.000 0.000 0.500
Mg3 0.291 0.000 0.004

Looking at DFT total energy for the records above, in order, we have -0.3216, -0.3241, -0.4781, -0.4077, -0.4217, -0.3934, -0.4247, -0.3890 Ry per atom.